*A*
An optimized crystal structure of TlRhSe2N, computed with GGA-PBE.

The structure in CIF format:
```
data_TlRhSe2N
_symmetry_space_group_name_H-M 'P 4/m m m'
_symmetry_Int_Tables_number 123
_symmetry_space_group_name_Hall '-P 4 2'
_cell_length_a 5.318
_cell_length_b 5.318
_cell_length_c 3.664
_cell_angle_alpha 90.00
_cell_angle_beta 90.00
_cell_angle_gamma 90.00
loop_
_atom_site_label
_atom_site_type_symbol
_atom_site_fract_x
_atom_site_fract_y
_atom_site_fract_z
_atom_site_occupancy
Tl1 Tl 0.000 0.000 0.000 1
Rh1 Rh 0.500 0.500 0.500 1
Se1 Se 0.000 0.500 0.500 1
N1 N 0.500 0.500 0.000 1
```

=====

*B*
An optimized crystal structure of TlRhSe2N, computed with GGA-PBE.

The structure in CIF format:
```
data_TlRhSe2N
_symmetry_space_group_name_H-M 'P 4/m m m'
_symmetry_Int_Tables_number 123
_symmetry_space_group_name_Hall '-P 4 2'
_cell_length_a 5.390
_cell_length_b 5.390
_cell_length_c 4.005
_cell_angle_alpha 90.00
_cell_angle_beta 90.00
_cell_angle_gamma 90.00
loop_
_atom_site_label
_atom_site_type_symbol
_atom_site_fract_x
_atom_site_fract_y
_atom_site_fract_z
_atom_site_occupancy
Tl1 Tl 0.000 0.000 0.000 1
Rh1 Rh 0.500 0.500 0.500 1
Se1 Se 0.000 0.500 0.000 1
N1 N 0.000 0.000 0.500 1
```

=====

It is *B* that is the least stable of them.

=====

*A*
An optimized crystal structure of VRhSe2N, computed with GGA-PBE.

The structure in CIF format:
```
data_VRhSe2N
_symmetry_space_group_name_H-M 'P 4/m m m'
_symmetry_Int_Tables_number 123
_symmetry_space_group_name_Hall '-P 4 2'
_cell_length_a 4.903
_cell_length_b 4.903
_cell_length_c 3.547
_cell_angle_alpha 90.00
_cell_angle_beta 90.00
_cell_angle_gamma 90.00
loop_
_atom_site_label
_atom_site_type_symbol
_atom_site_fract_x
_atom_site_fract_y
_atom_site_fract_z
_atom_site_occupancy
V1 V 0.000 0.000 0.000 1
Rh1 Rh 0.500 0.500 0.500 1
Se1 Se 0.000 0.500 0.000 1
N1 N 0.000 0.000 0.500 1
```

=====

*B*
An optimized crystal structure of VRhSe2N, computed with GGA-PBE.

The structure in CIF format:
```
data_VRhSe2N
_symmetry_space_group_name_H-M 'P 4/m m m'
_symmetry_Int_Tables_number 123
_symmetry_space_group_name_Hall '-P 4 2'
_cell_length_a 5.058
_cell_length_b 5.058
_cell_length_c 3.624
_cell_angle_alpha 90.00
_cell_angle_beta 90.00
_cell_angle_gamma 90.00
loop_
_atom_site_label
_atom_site_type_symbol
_atom_site_fract_x
_atom_site_fract_y
_atom_site_fract_z
_atom_site_occupancy
V1 V 0.000 0.000 0.000 1
Rh1 Rh 0.500 0.500 0.500 1
Se1 Se 0.000 0.500 0.500 1
N1 N 0.500 0.500 0.000 1
```

=====

It is *B* that is the least stable of them.

=====

*A*
An optimized crystal structure of RhWSe2N, computed with GGA-PBE.

The structure in CIF format:
```
data_RhWSe2N
_symmetry_space_group_name_H-M 'P 4/m m m'
_symmetry_Int_Tables_number 123
_symmetry_space_group_name_Hall '-P 4 2'
_cell_length_a 5.053
_cell_length_b 5.053
_cell_length_c 3.597
_cell_angle_alpha 90.00
_cell_angle_beta 90.00
_cell_angle_gamma 90.00
loop_
_atom_site_label
_atom_site_type_symbol
_atom_site_fract_x
_atom_site_fract_y
_atom_site_fract_z
_atom_site_occupancy
Rh1 Rh 0.000 0.000 0.000 1
W1 W 0.500 0.500 0.500 1
Se1 Se 0.000 0.500 0.000 1
N1 N 0.000 0.000 0.500 1
```

=====

*B*
An optimized crystal structure of RhWSe2N, computed with GGA-PBE.

The structure in CIF format:
```
data_RhWSe2N
_symmetry_space_group_name_H-M 'P 4/m m m'
_symmetry_Int_Tables_number 123
_symmetry_space_group_name_Hall '-P 4 2'
_cell_length_a 5.010
_cell_length_b 5.010
_cell_length_c 3.757
_cell_angle_alpha 90.00
_cell_angle_beta 90.00
_cell_angle_gamma 90.00
loop_
_atom_site_label
_atom_site_type_symbol
_atom_site_fract_x
_atom_site_fract_y
_atom_site_fract_z
_atom_site_occupancy
Rh1 Rh 0.000 0.000 0.000 1
W1 W 0.500 0.500 0.500 1
Se1 Se 0.000 0.500 0.500 1
N1 N 0.500 0.500 0.000 1
```

=====

It is *A* that is the least stable of them.

=====

*A*
An optimized crystal structure of ZnRhSeN2, computed with GGA-PBE.

The structure in CIF format:
```
data_ZnRhSeN2
_symmetry_space_group_name_H-M 'P 4/m m m'
_symmetry_Int_Tables_number 123
_symmetry_space_group_name_Hall '-P 4 2'
_cell_length_a 3.780
_cell_length_b 3.780
_cell_length_c 5.469
_cell_angle_alpha 90.00
_cell_angle_beta 90.00
_cell_angle_gamma 90.00
loop_
_atom_site_label
_atom_site_type_symbol
_atom_site_fract_x
_atom_site_fract_y
_atom_site_fract_z
_atom_site_occupancy
Zn1 Zn 0.000 0.000 0.000 1
Rh1 Rh 0.500 0.500 0.500 1
Se1 Se 0.000 0.000 0.500 1
N1 N 0.000 0.500 0.000 1
```

=====

*B*
An optimized crystal structure of ZnRhSeN2, computed with GGA-PBE.

The structure in CIF format:
```
data_ZnRhSeN2
_symmetry_space_group_name_H-M 'P 4/m m m'
_symmetry_Int_Tables_number 123
_symmetry_space_group_name_Hall '-P 4 2'
_cell_length_a 3.784
_cell_length_b 3.784
_cell_length_c 5.579
_cell_angle_alpha 90.00
_cell_angle_beta 90.00
_cell_angle_gamma 90.00
loop_
_atom_site_label
_atom_site_type_symbol
_atom_site_fract_x
_atom_site_fract_y
_atom_site_fract_z
_atom_site_occupancy
Zn1 Zn 0.000 0.000 0.000 1
Rh1 Rh 0.500 0.500 0.500 1
Se1 Se 0.500 0.500 0.000 1
N1 N 0.000 0.500 0.500 1
```

=====

It is *A* that is the least stable of them.

=====

*A*
An optimized crystal structure of Si2Rh2N, computed with GGA-PBE.

The structure in CIF format:
```
data_Si2Rh2N
_symmetry_space_group_name_H-M 'P 4/m b m'
_symmetry_Int_Tables_number 127
_symmetry_space_group_name_Hall '-P 4 2ab'
_cell_length_a 5.484
_cell_length_b 5.484
_cell_length_c 4.068
_cell_angle_alpha 90.00
_cell_angle_beta 90.00
_cell_angle_gamma 90.00
loop_
_atom_site_label
_atom_site_type_symbol
_atom_site_fract_x
_atom_site_fract_y
_atom_site_fract_z
_atom_site_occupancy
Si1 Si 0.164 0.336 0.000 1
Rh1 Rh 0.169 0.669 0.500 1
N1 N 0.000 0.000 0.000 1
```

=====

*B*
An optimized crystal structure of Si2Rh2N, computed with GGA-PBE.

The structure in CIF format:
```
data_Si2Rh2N
_symmetry_space_group_name_H-M 'I 4/m m m'
_symmetry_Int_Tables_number 139
_symmetry_space_group_name_Hall '-I 4 2'
_cell_length_a 4.034
_cell_length_b 4.034
_cell_length_c 9.476
_cell_angle_alpha 90.00
_cell_angle_beta 90.00
_cell_angle_gamma 90.00
loop_
_atom_site_label
_atom_site_type_symbol
_atom_site_fract_x
_atom_site_fract_y
_atom_site_fract_z
_atom_site_occupancy
Si1 Si 0.000 0.000 0.122 1
Rh1 Rh 0.000 0.500 0.250 1
N1 N 0.000 0.000 0.500 1
```

=====

It is *B* that is the least stable of them.

=====

*A*
An optimized crystal structure of SiTeRhN2, computed with GGA-PBE.

The structure in CIF format:
```
data_SiTeRhN2
_symmetry_space_group_name_H-M 'P 4/m m m'
_symmetry_Int_Tables_number 123
_symmetry_space_group_name_Hall '-P 4 2'
_cell_length_a 3.525
_cell_length_b 3.525
_cell_length_c 8.122
_cell_angle_alpha 90.00
_cell_angle_beta 90.00
_cell_angle_gamma 90.00
loop_
_atom_site_label
_atom_site_type_symbol
_atom_site_fract_x
_atom_site_fract_y
_atom_site_fract_z
_atom_site_occupancy
Si1 Si 0.000 0.000 0.000 1
Te1 Te 0.000 0.000 0.500 1
Rh1 Rh 0.500 0.500 0.500 1
N1 N 0.000 0.500 0.000 1
```

=====

*B*
An optimized crystal structure of SiTeRhN2, computed with GGA-PBE.

The structure in CIF format:
```
data_SiTeRhN2
_symmetry_space_group_name_H-M 'P 4/m m m'
_symmetry_Int_Tables_number 123
_symmetry_space_group_name_Hall '-P 4 2'
_cell_length_a 3.842
_cell_length_b 3.842
_cell_length_c 6.062
_cell_angle_alpha 90.00
_cell_angle_beta 90.00
_cell_angle_gamma 90.00
loop_
_atom_site_label
_atom_site_type_symbol
_atom_site_fract_x
_atom_site_fract_y
_atom_site_fract_z
_atom_site_occupancy
Si1 Si 0.000 0.000 0.000 1
Te1 Te 0.500 0.500 0.000 1
Rh1 Rh 0.500 0.500 0.500 1
N1 N 0.000 0.500 0.500 1
```

=====

It is *B* that is the least stable of them.

=====

*A*
An optimized crystal structure of SnTeRhN2, computed with GGA-PBE.

The structure in CIF format:
```
data_SnTeRhN2
_symmetry_space_group_name_H-M 'P 4/m m m'
_symmetry_Int_Tables_number 123
_symmetry_space_group_name_Hall '-P 4 2'
_cell_length_a 4.078
_cell_length_b 4.078
_cell_length_c 5.484
_cell_angle_alpha 90.00
_cell_angle_beta 90.00
_cell_angle_gamma 90.00
loop_
_atom_site_label
_atom_site_type_symbol
_atom_site_fract_x
_atom_site_fract_y
_atom_site_fract_z
_atom_site_occupancy
Sn1 Sn 0.000 0.000 0.000 1
Te1 Te 0.500 0.500 0.000 1
Rh1 Rh 0.500 0.500 0.500 1
N1 N 0.000 0.500 0.500 1
```

=====

*B*
An optimized crystal structure of SnTeRhN2, computed with GGA-PBE.

The structure in CIF format:
```
data_SnTeRhN2
_symmetry_space_group_name_H-M 'P 4/m m m'
_symmetry_Int_Tables_number 123
_symmetry_space_group_name_Hall '-P 4 2'
_cell_length_a 4.038
_cell_length_b 4.038
_cell_length_c 6.295
_cell_angle_alpha 90.00
_cell_angle_beta 90.00
_cell_angle_gamma 90.00
loop_
_atom_site_label
_atom_site_type_symbol
_atom_site_fract_x
_atom_site_fract_y
_atom_site_fract_z
_atom_site_occupancy
Sn1 Sn 0.000 0.000 0.000 1
Te1 Te 0.000 0.000 0.500 1
Rh1 Rh 0.500 0.500 0.500 1
N1 N 0.000 0.500 0.000 1
```

=====

It is *B* that is the least stable of them.